A geometry-optimized LiTl2Te structure. Source: the Alexandria database, functional GGA-PBEsol.

Values from the calculation:
Size of the total moment in μB per formula unit: 0.0
Energy above the lowest structure with this stoichiometry in meV per atom: 51
Formation energy without anion corrections in eV/atom: -0.273

Cell: 6.087 6.809 6.809 Å, 78.48 63.45 63.45°
Positions (direct):
Tl 0.128 0.997 0.497
Tl 0.622 0.003 0.503
Tl 0.375 0.497 0.003
Tl 0.875 0.503 0.997
Te 0.750 0.500 0.500
Te 0.000 0.000 0.000
Li 0.250 0.500 0.500
Li 0.500 0.000 0.000